Below is crystalline Cs3Ni2F7 at its relaxed geometry, with properties calculated at the PBE+U level.

Unit cell a=4.214 b=4.255 c=12.362 alpha=99.91 beta=90.00 gamma=90.00
Each line ends with the local moment (μB).
Element x y z (fractional)
Cs  0.500  0.500  0.000  0.00
Cs  0.500  0.678  0.356  0.00
Cs  0.500  0.322  0.644  0.00
Ni  0.000  0.913  0.826  1.84
Ni  0.000  0.087  0.174  1.84
F  0.000  0.411  0.823  0.04
F  0.000  0.831  0.662  0.03
F  0.000  0.000  0.000  0.03
F  0.000  0.589  0.177  0.04
F  0.500  0.088  0.177  0.04
F  0.500  0.912  0.823  0.04
F  0.000  0.169  0.338  0.03

Summary:
- total magnetization (μB per formula unit) = 3.98
- energy (eV for the cell shown) = -50.113